# Fe2NiF

A relaxed Fe2NiF crystal (PBE+U, Alexandria).

The space group is I-42d (No. 122) and the conventional cell measures 6.3792, 6.3792 and 5.6938 Å, with angles of 90.00, 90.00 and 90.00 degrees. Symmetry generates all atoms from Fe at (0.2061, 0.2500, 0.1250), Ni at (0.0000, 0.0000, 0.5000) and F at (0.0000, 0.0000, 0.0000).

Its size of the total moment is 8.26 μB/f.u. Its electronic total energy is -3.8126 eV/atom.